# Pr6NdCd2 | the Alexandria database | PBE-GGA | optimized geometry
data_Pr6NdCd2
_chemical_formula_sum 'Pr6 Nd1 Cd2'
_symmetry_space_group_name_H-M 'P 1'
_symmetry_Int_Tables_number 1
_cell_length_a 3.8821
_cell_length_b 6.8312
_cell_length_c 12.1965
_cell_angle_alpha 75.53
_cell_angle_beta 80.84
_cell_angle_gamma 73.49
loop_
_symmetry_equiv_pos_as_xyz
'x,y,z'
loop_
_atom_site_label
_atom_site_type_symbol
_atom_site_fract_x
_atom_site_fract_y
_atom_site_fract_z
Pr1 Pr 0.3115 0.7891 0.5879
Pr2 Pr 0.6885 0.2109 0.4121
Pr3 Pr 0.3164 0.4909 0.8763
Pr4 Pr 0.6836 0.5091 0.1237
Pr5 Pr 0.0204 0.2970 0.6623
Pr6 Pr 0.9796 0.7030 0.3377
Nd1 Nd 0.0000 0.0000 0.0000
Cd1 Cd 0.3540 0.0882 0.2037
Cd2 Cd 0.6460 0.9118 0.7963
# ΔH_f (0 K): -0.134 eV per atom
# Symmetry: C2/m (12)
# Excess energy over the best structure of this formula in the dataset: 0.0000 eV/atom